Record 1
{"formula": "PaOsPd", "functional": "PBE", "state": "relaxed", "cell": [[0.000, 3.210, 3.210], [3.210, 0.000, 3.210], [3.210, 3.210, 0.000]], "species": ["Os", "Pa", "Pd"], "frac_coords": [[0.250, 0.250, 0.250], [0.000, 0.000, 0.000], [0.750, 0.750, 0.750]], "e_above_lowest_polymorph_mev_per_atom": 150, "crystal_system": "cubic", "sg": "F-43m"}

Record 2
{"formula": "PaOsPd", "functional": "PBE", "state": "relaxed", "cell": [[-4.445, -0.399, -0.593], [-2.805, 2.925, 1.962], [-2.218, 3.016, -2.501]], "species": ["Os", "Pa", "Pd"], "frac_coords": [[0.000, 0.000, 0.000], [0.250, 0.250, 0.250], [0.750, 0.750, 0.750]], "e_above_lowest_polymorph_mev_per_atom": 0, "crystal_system": "cubic", "sg": "F-43m"}

| no. | total energy (Ry/atom) |
| --- | --- |
| 1 | -0.6202 |
| 2 | -0.6312 |